# Cs6Na2Cd, optimized geometry, DFT PBE-GGA
data_Cs6Na2Cd
_chemical_formula_sum 'Cs24 Na8 Cd4'
_space_group_name_H-M_alt 'I m m m'
_space_group_IT_number 71
_space_group_name_Hall '-I 2 2'
_cell_length_a 14.051
_cell_length_b 14.112
_cell_length_c 14.439
_cell_angle_alpha 90.00
_cell_angle_beta 90.00
_cell_angle_gamma 90.00
loop_
_atom_site_label
_atom_site_type_symbol
_atom_site_fract_x
_atom_site_fract_y
_atom_site_fract_z
_atom_site_occupancy
Cs1 Cs 0.000 0.218 0.169 1
Cs2 Cs 0.173 0.243 0.500 1
Cs3 Cs 0.189 0.500 0.244 1
Na1 Na 0.000 0.000 0.378 1
Na2 Na 0.135 0.000 0.000 1
Cd1 Cd 0.000 0.500 0.000 1
Cd2 Cd 0.000 0.500 0.500 1
# - Final energy: -0.93 eV per atom
# - D(E_F): 33.3 states/eV per cell